Here is a relaxed Ac2InAg2 crystal from Alexandria. Energies are from GGA-PBE.

CIF file:
```
data_Ac2InAg2
_cell_length_a 8.313
_cell_length_b 8.313
_cell_length_c 4.364
_cell_angle_alpha 90.00
_cell_angle_beta 90.00
_cell_angle_gamma 90.00
_symmetry_space_group_name_H-M 'P 4/m b m'
_symmetry_Int_Tables_number 127
_symmetry_space_group_name_Hall '-P 4 2ab'
loop_
_atom_site_label
_atom_site_type_symbol
_atom_site_fract_x
_atom_site_fract_y
_atom_site_fract_z
_atom_site_occupancy
Ac1 Ac 0.179 0.321 0.000 1
In1 In 0.000 0.000 0.500 1
Ag1 Ag 0.122 0.622 0.500 1
```

Computed properties:
energy of formation = -0.3556 eV/atom
excess energy over the best structure of this formula in the dataset = 0.0000 eV/atom
M_tot = 0.000 μB per formula unit
calculated total energy = -36.872 eV for the cell shown

=====

Here is a relaxed Ac3In4Ag2 crystal from Alexandria. Energies are from GGA-PBE.

CIF file:
```
data_Ac3In4Ag2
_cell_length_a 8.2833
_cell_length_b 8.2833
_cell_length_c 4.4880
_cell_angle_alpha 90.00
_cell_angle_beta 90.00
_cell_angle_gamma 120.00
_symmetry_space_group_name_H-M 'P -6 2 m'
_symmetry_Int_Tables_number 189
_symmetry_space_group_name_Hall 'P -6 -2'
loop_
_atom_site_label
_atom_site_type_symbol
_atom_site_fract_x
_atom_site_fract_y
_atom_site_fract_z
_atom_site_occupancy
Ac1 Ac 0.0000 0.5890 0.0000 1
In1 In 0.0000 0.0000 0.0000 1
In2 In 0.0000 0.2565 0.5000 1
Ag1 Ag 0.3333 0.6667 0.5000 1
```

Computed properties:
energy of formation = -0.3938 eV/atom
excess energy over the best structure of this formula in the dataset = 0.0479 eV/atom
M_tot = 0.000 μB per formula unit
calculated total energy = -32.526 eV for the cell shown

=====

Here is a relaxed Ac4InAg3 crystal from Alexandria. Energies are from GGA-PBE.

CIF file:
```
data_Ac4InAg3
_cell_length_a 4.265
_cell_length_b 5.041
_cell_length_c 12.220
_cell_angle_alpha 90.00
_cell_angle_beta 90.00
_cell_angle_gamma 90.00
_symmetry_space_group_name_H-M 'P m m 2'
_symmetry_Int_Tables_number 25
loop_
_symmetry_equiv_pos_as_xyz
'x,y,z'
'-x,-y,z'
'-x,y,z'
'x,-y,z'
loop_
_atom_site_label
_atom_site_type_symbol
_atom_site_fract_x
_atom_site_fract_y
_atom_site_fract_z
_atom_site_occupancy
Ac1 Ac 0.000 0.000 0.000 1
Ac2 Ac 0.000 0.500 0.280 1
Ac3 Ac 0.500 0.000 0.486 1
Ac4 Ac 0.500 0.500 0.790 1
In1 In 0.000 0.000 0.712 1
Ag1 Ag 0.000 0.500 0.563 1
Ag2 Ag 0.500 0.000 0.211 1
Ag3 Ag 0.500 0.500 0.068 1
```

Computed properties:
energy of formation = -0.2830 eV/atom
excess energy over the best structure of this formula in the dataset = 0.0120 eV/atom
M_tot = 0.000 μB per formula unit
calculated total energy = -29.990 eV for the cell shown

=====

Here is a relaxed Ac2In3Ag4 crystal from Alexandria. Energies are from GGA-PBE.

CIF file:
```
data_Ac2In3Ag4
_cell_length_a 6.439
_cell_length_b 17.046
_cell_length_c 8.424
_cell_angle_alpha 90.00
_cell_angle_beta 90.00
_cell_angle_gamma 90.00
_symmetry_space_group_name_H-M 'C m c e'
_symmetry_Int_Tables_number 64
_symmetry_space_group_name_Hall '-C 2ac 2'
loop_
_atom_site_label
_atom_site_type_symbol
_atom_site_fract_x
_atom_site_fract_y
_atom_site_fract_z
_atom_site_occupancy
Ac1 Ac 0.000 0.109 0.091 1
In1 In 0.000 0.000 0.500 1
In2 In 0.250 0.228 0.750 1
Ag1 Ag 0.000 0.176 0.479 1
Ag2 Ag 0.250 0.059 0.750 1
```

Computed properties:
energy of formation = -0.2710 eV/atom
M_tot = 0.000 μB per formula unit
calculated total energy = -121.104 eV for the cell shown

=====

Here is a relaxed Ac2In5Ag3 crystal from Alexandria. Energies are from GGA-PBE.

CIF file:
```
data_Ac2In5Ag3
_cell_length_a 12.008
_cell_length_b 13.250
_cell_length_c 6.675
_cell_angle_alpha 90.00
_cell_angle_beta 90.00
_cell_angle_gamma 90.00
_symmetry_space_group_name_H-M 'I b a m'
_symmetry_Int_Tables_number 72
_symmetry_space_group_name_Hall '-I 2 2c'
loop_
_atom_site_label
_atom_site_type_symbol
_atom_site_fract_x
_atom_site_fract_y
_atom_site_fract_z
_atom_site_occupancy
Ac1 Ac 0.247 0.129 0.000 1
In1 In 0.000 0.000 0.250 1
In2 In 0.000 0.252 0.250 1
In3 In 0.142 0.386 0.000 1
Ag1 Ag 0.000 0.500 0.250 1
Ag2 Ag 0.132 0.126 0.500 1
```

Computed properties:
energy of formation = -0.3498 eV/atom
M_tot = 0.000 μB per formula unit
calculated total energy = -135.843 eV for the cell shown

=====

Here is a relaxed Ac3InAg4 crystal from Alexandria. Energies are from GGA-PBE.

CIF file:
```
data_Ac3InAg4
_cell_length_a 4.357
_cell_length_b 7.365
_cell_length_c 15.759
_cell_angle_alpha 90.00
_cell_angle_beta 90.00
_cell_angle_gamma 90.00
_symmetry_space_group_name_H-M 'I m m m'
_symmetry_Int_Tables_number 71
_symmetry_space_group_name_Hall '-I 2 2'
loop_
_atom_site_label
_atom_site_type_symbol
_atom_site_fract_x
_atom_site_fract_y
_atom_site_fract_z
_atom_site_occupancy
Ac1 Ac 0.000 0.000 0.000 1
Ac2 Ac 0.000 0.500 0.185 1
In1 In 0.000 0.000 0.500 1
Ag1 Ag 0.000 0.306 0.373 1
```

Computed properties:
energy of formation = -0.1732 eV/atom
M_tot = 0.000 μB per formula unit
calculated total energy = -55.709 eV for the cell shown

=====

> Number 2 is which compound?

Ac3In4Ag2